First-principles (PBE) data for a geometry-optimized PrHoCuTe3 structure, as listed in OQMD via LeMat-Bulk.

electronic total energy: -4.809 eV per atom
crystal system: orthorhombic
volume: 28.07 Å³/atom

a b c (Å): 7.497 7.497 11.128
angles (deg): 90.00 90.00 147.41
Atoms (fractional coordinates):
Te 0.588 0.412 0.750
Te 0.146 0.854 0.436
Te 0.854 0.146 0.936
Pr 0.267 0.733 0.750
Te 0.854 0.146 0.564
Cu 0.031 0.969 0.250
Ho 0.500 0.500 0.500
Ho 0.500 0.500 0.000
Te 0.412 0.588 0.250
Cu 0.969 0.031 0.750
Pr 0.733 0.267 0.250
Te 0.146 0.854 0.064

First-principles (PBE) data for a geometry-optimized Ho2CuPt structure, as listed in OQMD via LeMat-Bulk.

electronic total energy: -5.563 eV per atom
formation enthalpy at 0 K: -831 meV/atom
crystal system: monoclinic
volume: 21.56 Å³/atom

a b c (Å): 5.508 4.474 7.443
angles (deg): 90.00 109.83 90.00
Atoms (fractional coordinates):
Cu 0.160 0.250 0.792
Ho 0.280 0.750 0.566
Ho 0.720 0.250 0.434
Pt 0.843 0.750 0.712
Ho 0.276 0.750 0.072
Cu 0.840 0.750 0.208
Ho 0.724 0.250 0.928
Pt 0.157 0.250 0.288

First-principles (PBE) data for a geometry-optimized Ho2CuPt structure, as listed in OQMD via LeMat-Bulk.

electronic total energy: -5.556 eV per atom
formation enthalpy at 0 K: -825 meV/atom
crystal system: orthorhombic
volume: 21.50 Å³/atom

a b c (Å): 4.445 5.472 7.073
angles (deg): 90.00 90.00 90.00
Atoms (fractional coordinates):
Pt 0.500 0.386 0.962
Ho 0.500 0.884 0.817
Ho 0.000 0.607 0.183
Cu 0.000 0.108 0.038
Cu 0.000 0.892 0.538
Pt 0.500 0.614 0.462
Ho 0.500 0.116 0.317
Ho 0.000 0.393 0.683

First-principles (PBE) data for a geometry-optimized Ho2CuPt structure, as listed in OQMD via LeMat-Bulk.

electronic total energy: -5.537 eV per atom
formation enthalpy at 0 K: -805 meV/atom
crystal system: monoclinic
volume: 21.62 Å³/atom

a b c (Å): 5.530 4.484 6.975
angles (deg): 90.00 90.14 90.00
Atoms (fractional coordinates):
Ho 0.135 0.750 0.688
Ho 0.865 0.250 0.312
Cu 0.376 0.250 0.468
Pt 0.160 0.250 0.953
Ho 0.357 0.750 0.176
Cu 0.624 0.750 0.532
Pt 0.840 0.750 0.047
Ho 0.643 0.250 0.824

First-principles (PBE) data for a geometry-optimized Ho4CuPt3 structure, as listed in OQMD via LeMat-Bulk.

electronic total energy: -6.094 eV per atom
formation enthalpy at 0 K: -1071 meV/atom
crystal system: monoclinic
volume: 21.73 Å³/atom

a b c (Å): 5.540 4.485 6.998
angles (deg): 90.00 90.39 90.00
Atoms (fractional coordinates):
Ho 0.139 0.500 0.683
Cu 0.636 0.500 0.537
Pt 0.156 0.000 0.954
Pt 0.366 0.000 0.465
Pt 0.841 0.500 0.044
Ho 0.638 0.000 0.823
Ho 0.358 0.500 0.180
Ho 0.866 0.000 0.313

First-principles (PBE) data for a geometry-optimized HoTm2Zn3CuPt2 structure, as listed in OQMD via LeMat-Bulk.

electronic total energy: -4.481 eV per atom
formation enthalpy at 0 K: -798 meV/atom
crystal system: orthorhombic
volume: 18.86 Å³/atom

a b c (Å): 3.753 7.233 7.233
angles (deg): 120.18 90.00 90.00
Atoms (fractional coordinates):
Tm 0.000 0.000 0.591
Ho 0.000 0.409 0.409
Pt 0.500 0.333 0.669
Cu 0.000 0.999 0.999
Zn 0.500 0.999 0.244
Pt 0.500 0.669 0.333
Zn 0.500 0.244 0.999
Tm 0.000 0.591 0.000
Zn 0.500 0.757 0.757

First-principles (PBE) data for a geometry-optimized Ho3Zn3CuPt2 structure, as listed in OQMD via LeMat-Bulk.

electronic total energy: -4.497 eV per atom
formation enthalpy at 0 K: -791 meV/atom
crystal system: hexagonal
volume: 19.04 Å³/atom

a b c (Å): 7.192 7.192 3.825
angles (deg): 90.00 90.00 120.00
Atoms (fractional coordinates):
Zn 0.241 0.241 0.500
Pt 0.333 0.667 0.500
Zn 0.759 0.000 0.500
Cu 0.000 0.000 0.000
Zn 0.000 0.759 0.500
Ho 0.588 0.588 0.000
Pt 0.667 0.333 0.500
Ho 0.000 0.412 0.000
Ho 0.412 0.000 0.000

First-principles (PBE) data for a geometry-optimized HoPuCu structure, as listed in OQMD via LeMat-Bulk.

electronic total energy: -6.382 eV per atom
formation enthalpy at 0 K: 1092 meV/atom
crystal system: cubic
volume: 24.54 Å³/atom

a b c (Å): 4.704 4.704 4.704
angles (deg): 60.00 60.00 60.00
Site moments in Bohr magnetons follow the coordinates.
Atoms (fractional coordinates):
Ho 0.250 0.250 0.250  0.34
Cu 0.000 0.000 0.000  0.03
Pu 0.750 0.750 0.750  0.78

First-principles (PBE) data for a geometry-optimized RbHoCu structure, as listed in OQMD via LeMat-Bulk.

electronic total energy: -2.365 eV per atom
crystal system: cubic
polymorph energy (0 for the lowest one): 0 meV per atom
volume: 33.56 Å³/atom

a b c (Å): 5.222 5.222 5.222
angles (deg): 60.00 60.00 60.00
Atoms (fractional coordinates):
Ho 0.250 0.250 0.250
Cu 0.000 0.000 0.000
Rb 0.750 0.750 0.750

First-principles (PBE) data for a geometry-optimized RbHoCuS3 structure, as listed in OQMD via LeMat-Bulk.

electronic total energy: -4.874 eV per atom
crystal system: monoclinic
volume: 26.30 Å³/atom

a b c (Å): 8.967 3.950 9.457
angles (deg): 90.00 109.55 90.00
Atoms (fractional coordinates):
S 0.469 0.750 0.659
Rb 0.209 0.250 0.740
Cu 0.917 0.750 0.893
Rb 0.791 0.750 0.260
S 0.120 0.250 0.359
S 0.181 0.750 0.044
S 0.531 0.250 0.341
Ho 0.672 0.250 0.641
Ho 0.328 0.750 0.359
S 0.819 0.250 0.956
S 0.880 0.750 0.641
Cu 0.083 0.250 0.107

First-principles (PBE) data for a geometry-optimized RbHo2Cu3Se4S structure, as listed in OQMD via LeMat-Bulk.

electronic total energy: -4.732 eV per atom
crystal system: orthorhombic
volume: 22.70 Å³/atom

a b c (Å): 7.545 7.545 16.862
angles (deg): 90.00 90.00 148.65
Atoms (fractional coordinates):
Ho 0.192 0.808 0.904
Rb 0.067 0.933 0.250
S 0.238 0.762 0.750
Ho 0.808 0.192 0.096
Ho 0.192 0.808 0.596
Se 0.442 0.558 0.382
Se 0.442 0.558 0.118
Cu 0.338 0.662 0.250
S 0.762 0.238 0.250
Cu 0.415 0.585 0.528
Se 0.833 0.167 0.928
Cu 0.415 0.585 0.972
Rb 0.933 0.067 0.750
Se 0.167 0.833 0.072
Ho 0.808 0.192 0.404
Se 0.558 0.442 0.618
Se 0.833 0.167 0.572
Cu 0.585 0.415 0.028
Se 0.167 0.833 0.428
Se 0.558 0.442 0.882
Cu 0.662 0.338 0.750
Cu 0.585 0.415 0.472

First-principles (PBE) data for a geometry-optimized RbHo2Cu3SeS4 structure, as listed in OQMD via LeMat-Bulk.

electronic total energy: -4.963 eV per atom
crystal system: orthorhombic
volume: 20.98 Å³/atom

a b c (Å): 7.249 7.249 16.667
angles (deg): 90.00 90.00 148.20
Atoms (fractional coordinates):
S 0.061 0.939 0.613
S 0.939 0.061 0.113
S 0.061 0.939 0.887
Cu 0.148 0.852 0.750
Cu 0.084 0.916 0.463
Rb 0.560 0.440 0.250
Cu 0.916 0.084 0.537
Se 0.255 0.745 0.250
Ho 0.310 0.690 0.090
S 0.668 0.332 0.430
S 0.332 0.668 0.930
Rb 0.440 0.560 0.750
Ho 0.690 0.310 0.910
Se 0.745 0.255 0.750
S 0.668 0.332 0.070
Cu 0.916 0.084 0.963
S 0.332 0.668 0.570
Ho 0.310 0.690 0.410
S 0.939 0.061 0.387
Ho 0.690 0.310 0.590
Cu 0.084 0.916 0.037
Cu 0.852 0.148 0.250